# 1
Density functional theory data (PBE) for an optimized crystal structure of KZrCu.

Summary:
E_tot	-4.1415	eV per atom
M_tot	0.302	μB/f.u.
ΔH_f (0 K)	0.439	eV per atom
ΔE to the lowest computed polymorph	0.0000	eV per atom
DOS(E_F)	1.00	states/eV/atom

Cell: 7.7292 7.7292 7.7292 Å, 155.18 155.18 35.38°
Positions (direct):
K1 0.0000 0.0000 0.0000
Zr1 0.2649 0.2649 0.0000
Cu1 0.6746 0.6746 0.0000

# 2
Density functional theory data (PBE) for an optimized crystal structure of LiTlInCl3.

Summary:
E_tot	-3.2435	eV per atom
M_tot	0.000	μB/f.u.
DOS(E_F)	0.00	states/eV/atom
energy relative to the elements, uncorrected	-1150	meV per atom

Cell: 8.3849 8.3849 6.6607 Å, 98.63 98.63 127.69°
Positions (direct):
Li1 0.0486 0.9514 0.7500
Li2 0.9514 0.0486 0.2500
Tl1 0.2255 0.7745 0.2500
Tl2 0.7745 0.2255 0.7500
In1 0.4169 0.5831 0.7500
In2 0.5831 0.4169 0.2500
Cl1 0.1609 0.2737 0.9991
Cl2 0.2083 0.7917 0.7500
Cl3 0.2737 0.1609 0.4991
Cl4 0.7263 0.8391 0.5009
Cl5 0.7917 0.2083 0.2500
Cl6 0.8391 0.7263 0.0009

# 3
Density functional theory data (PBE) for an optimized crystal structure of Rb2Cd4Bi3Au.

Summary:
E_tot	-2.2563	eV per atom
M_tot	0.000	μB/f.u.
ΔH_f (0 K)	-0.205	eV per atom
DOS(E_F)	0.42	states/eV/atom

Cell: 5.2742 5.2742 11.8681 Å, 90.00 90.00 90.00°
Positions (direct):
Rb1 0.0000 0.5000 0.2419
Rb2 0.5000 0.0000 0.7581
Cd1 0.0000 0.0000 0.5000
Cd2 0.0000 0.5000 0.8884
Cd3 0.5000 0.0000 0.1116
Cd4 0.5000 0.5000 0.5000
Bi1 0.0000 0.0000 0.0000
Bi2 0.0000 0.5000 0.6353
Bi3 0.5000 0.0000 0.3647
Au1 0.5000 0.5000 0.0000

# 4
Density functional theory data (PBE) for an optimized crystal structure of GaSbH3.

Summary:
E_tot	-2.8083	eV per atom
M_tot	0.000	μB/f.u.
ΔE to the lowest computed polymorph	0.0890	eV per atom
DOS(E_F)	0.45	states/eV/atom

Cell: 3.8234 3.8234 3.8234 Å, 90.00 90.00 90.00°
Positions (direct):
Ga1 0.0000 0.0000 0.0000
Sb1 0.5000 0.5000 0.5000
H1 0.0000 0.0000 0.5000
H2 0.0000 0.5000 0.0000
H3 0.5000 0.0000 0.0000

# 5
Density functional theory data (PBE) for an optimized crystal structure of LiTb2BO5.

Summary:
E_tot	-7.5532	eV per atom
M_tot	0.000	μB/f.u.
DOS(E_F)	0.00	states/eV/atom
energy relative to the elements, uncorrected	-2815	meV per atom

Cell: 6.6968 6.6968 9.5499 Å, 90.00 90.00 153.02°
Positions (direct):
Li1 0.1896 0.8104 0.5000
Li2 0.8104 0.1896 0.0000
Tb1 0.1234 0.8766 0.1472
Tb2 0.1381 0.8619 0.8005
Tb3 0.8619 0.1381 0.3005
Tb4 0.8766 0.1234 0.6472
B1 0.4412 0.5588 0.8796
B2 0.5588 0.4412 0.3796
O1 0.0285 0.9715 0.4578
O2 0.2946 0.7054 0.1620
O3 0.3357 0.6643 0.8470
O4 0.3433 0.6567 0.4848
O5 0.4974 0.5026 0.2530
O6 0.5026 0.4974 0.7530
O7 0.6567 0.3433 0.9848
O8 0.6643 0.3357 0.3470
O9 0.7054 0.2946 0.6620
O10 0.9715 0.0285 0.9578

# 6
Density functional theory data (PBE) for an optimized crystal structure of Ca5BiPb2.

Summary:
E_tot	-3.2931	eV per atom
M_tot	0.729	μB/f.u.
ΔH_f (0 K)	-0.630	eV per atom
DOS(E_F)	0.24	states/eV/atom

Cell: 9.6165 9.6165 9.6165 Å, 128.81 128.81 75.32°
Positions (direct):
Ca1 0.0000 0.0000 0.0000
Ca2 0.0189 0.5189 0.8297
Ca3 0.1892 0.0189 0.5000
Ca4 0.3108 0.8108 0.8297
Ca5 0.4811 0.3108 0.5000
Ca6 0.5000 0.5000 0.0000
Ca7 0.5189 0.6892 0.5000
Ca8 0.6892 0.1892 0.1703
Ca9 0.8108 0.9811 0.5000
Ca10 0.9811 0.4811 0.1703
Bi1 0.2500 0.2500 0.0000
Bi2 0.7500 0.7500 0.0000
Pb1 0.1327 0.3673 0.5000
Pb2 0.3673 0.8673 0.2345
Pb3 0.6327 0.1327 0.7655
Pb4 0.8673 0.6327 0.5000